(1)
Pm3Pr6ErTm2 | PBE | relaxed

```
Pm3Pr6ErTm2
1.0
3.1658 -5.4854 0.0000
3.1658 5.4854 0.0000
-2.1063 0.0000 11.7768
Pm Pr Er Tm
3 6 1 2
direct
0.0000 0.0000 0.0000
0.3333 0.6667 0.0000
0.6667 0.3333 0.0000
0.0842 0.4177 0.2545
0.2488 0.2488 0.7455
0.4177 0.0842 0.2545
0.5823 0.9158 0.7455
0.7512 0.7512 0.2545
0.9158 0.5823 0.7455
0.5000 0.5000 0.5000
0.1666 0.8334 0.5000
0.8334 0.1666 0.5000
```

Results
- symmetry = No. 12
- formation enthalpy at 0 K (eV per atom) = 0.02
- N(E_F) (states/eV per atom) = 1.1856
- magnetic moment (μB/f.u.) = 0.00

***

(2)
Pm5PrEr2Tm | PBE | relaxed

```
Pm5PrEr2Tm
1.0
2.8410 -10.1270 0.0000
2.8410 10.1270 0.0000
0.0000 0.0000 10.6150
Pm Pr Er Tm
10 2 4 2
direct
0.0172 0.9828 0.5000
0.2798 0.7202 0.7943
0.2976 0.7024 0.1878
0.3848 0.6152 0.5020
0.4802 0.5198 0.2205
0.5198 0.4802 0.7205
0.6152 0.3848 0.0020
0.7024 0.2976 0.6878
0.7202 0.2798 0.2943
0.9828 0.0172 0.0000
0.4129 0.5871 0.9333
0.5871 0.4129 0.4333
0.1136 0.8864 0.2142
0.1153 0.8847 0.7966
0.8847 0.1153 0.2966
0.8864 0.1136 0.7142
0.1987 0.8013 0.4916
0.8013 0.1987 0.9916
```

Results
- symmetry = No. 36
- formation enthalpy at 0 K (eV per atom) = 0.15
- N(E_F) (states/eV per atom) = 1.5899
- magnetic moment (μB/f.u.) = 0.00

***

(3)
PmPr6ErTm2 | PBE | relaxed

```
PmPr6ErTm2
1.0
4.6903 -7.6614 0.0000
4.6903 7.6614 0.0000
-1.2003 0.0000 9.6059
Pm Pr Er Tm
2 12 2 4
direct
0.0297 0.9703 0.7500
0.9703 0.0297 0.2500
0.0044 0.5605 0.6872
0.1132 0.7624 0.0549
0.2376 0.8868 0.4451
0.2950 0.5142 0.8831
0.4395 0.9956 0.8128
0.4858 0.7050 0.6169
0.5142 0.2950 0.3831
0.5605 0.0044 0.1872
0.7050 0.4858 0.1169
0.7624 0.1132 0.5549
0.8868 0.2376 0.9451
0.9956 0.4395 0.3128
0.4120 0.5880 0.2500
0.5880 0.4120 0.7500
0.2023 0.2979 0.5489
0.2979 0.2023 0.0489
0.7021 0.7977 0.9511
0.7977 0.7021 0.4511
```

Results
- symmetry = No. 15
- formation enthalpy at 0 K (eV per atom) = 0.11
- N(E_F) (states/eV per atom) = 1.4714
- magnetic moment (μB/f.u.) = 0.00